Record 1
This record from Alexandria via LeMat-Bulk describes an optimized crystal structure of Er3Co5S12. The functional is PBE.

Its density of states at the Fermi level is 135.83 states/eV/cell. As for the electronic total energy: -5.782 eV/atom. The value obtained for the uncorrected formation energy is -16.9 eV per formula unit. The total magnetic moment is 7.1 μB/f.u.

The structure belongs to space group Ia-3d (No. 230); the cell edges are 14.334, 14.334 and 14.334 Å and the angles 90.00°, 90.00° and 90.00°. The asymmetric unit holds Er at (0.000, 0.250, 0.125), Co at (0.000, 0.000, 0.000), Co at (0.000, 0.250, 0.375) and S at (0.031, 0.056, 0.646).


Record 2
This record from Alexandria via LeMat-Bulk describes an optimized crystal structure of ErCoS. The functional is PBE.

Its density of states at the Fermi level is 6.56 states/eV/cell. As for the electronic total energy: -5.967 eV/atom. The value obtained for the uncorrected formation energy is -2.1 eV per formula unit. The total magnetic moment is 0.0 μB/f.u.

The structure belongs to space group C2/m (No. 12); the cell edges are 6.301, 3.648 and 9.313 Å and the angles 90.00°, 90.27° and 90.00°. The asymmetric unit holds Er at (0.168, 0.000, 0.333), Co at (0.167, 0.000, 0.914) and S at (0.000, 0.500, 0.159).


Record 3
This record from Alexandria via LeMat-Bulk describes an optimized crystal structure of ErCoS2. The functional is PBE.

Its density of states at the Fermi level is 3.61 states/eV/cell. As for the electronic total energy: -5.480 eV/atom. The value obtained for the uncorrected formation energy is -2.0 eV per formula unit. The total magnetic moment is 0.0 μB/f.u.

The structure belongs to space group R-3m (No. 166, hexagonal axes); the cell edges are 3.4823, 3.4823 and 22.6459 Å and the angles 90.00°, 90.00° and 120.00°. The asymmetric unit holds Er at (0.0000, 0.0000, 0.0000), Co at (0.0000, 0.0000, 0.5000) and S at (0.0000, 0.0000, 0.1177).


Record 4
This record from Alexandria via LeMat-Bulk describes an optimized crystal structure of Er4CoSe2S. The functional is PBE.

Its density of states at the Fermi level is 6.04 states/eV/cell. As for the electronic total energy: -5.935 eV/atom. The value obtained for the uncorrected formation energy is -11.0 eV per formula unit. The total magnetic moment is 0.0 μB/f.u.

The structure belongs to space group P2/m (No. 10); the cell edges are 6.966, 3.865 and 7.021 Å and the angles 90.00°, 108.20° and 90.00°. The asymmetric unit holds Er at (0.226, 0.000, 0.218), Er at (0.244, 0.500, 0.774), Co at (0.000, 0.500, 0.000), Se at (0.000, 0.000, 0.500), Se at (0.500, 0.500, 0.500) and S at (0.500, 0.000, 0.000).


Record 5
This record from Alexandria via LeMat-Bulk describes an optimized crystal structure of Er4CoSeS2. The functional is PBE.

Its density of states at the Fermi level is 5.96 states/eV/cell. As for the electronic total energy: -6.038 eV/atom. The value obtained for the uncorrected formation energy is -11.2 eV per formula unit. The total magnetic moment is 0.0 μB/f.u.

The structure belongs to space group P2/m (No. 10); the cell edges are 6.890, 3.822 and 6.921 Å and the angles 90.00°, 107.83° and 90.00°. The asymmetric unit holds Er at (0.239, 0.000, 0.231), Er at (0.245, 0.500, 0.774), Co at (0.000, 0.500, 0.000), Se at (0.000, 0.000, 0.500), S at (0.500, 0.000, 0.000) and S at (0.500, 0.500, 0.500).


Record 6
This record from Alexandria via LeMat-Bulk describes an optimized crystal structure of Y2Er2Co2S. The functional is PBE.

Its density of states at the Fermi level is 9.09 states/eV/cell. As for the electronic total energy: -6.393 eV/atom. The value obtained for the uncorrected formation energy is -4.4 eV per formula unit. The total magnetic moment is 0.0 μB/f.u.

The structure belongs to space group C2/m (No. 12); the cell edges are 12.943, 3.740 and 7.801 Å and the angles 90.00°, 118.81° and 90.00°. The asymmetric unit holds Y at (0.025, 0.000, 0.252), Er at (0.227, 0.500, 0.807), Co at (0.102, 0.500, 0.053) and S at (0.000, 0.500, 0.500).